Entry 1:
VASP calculation (PBE-GGA) on a geometry-optimized Re4Tc structure.

```
Re4Tc
1.0
-3.0910 3.0910 1.9544
3.0910 -3.0910 1.9544
3.0910 3.0910 -1.9544
Re Tc
4 1
direct
0.1002 0.2993 0.3995
0.2993 0.8998 0.1991
0.7007 0.1002 0.8009
0.8998 0.7007 0.6005
0.5000 0.5000 0.0000
```

Values from the calculation:
Energy above the lowest structure with this stoichiometry, meV per atom: 0.0
Formation enthalpy at 0 K, meV per atom: 60
Mass density, g/cm³: 18.74
Space-group type: I4/m, No. 87
M_tot, μB per atom: 0.001
E_tot, eV per atom: -11.97
N(E_F), states/eV/cell: 4.069



Entry 2:
VASP calculation (PBE-GGA) on a geometry-optimized Re4Tc3 structure.

```
Re4Tc3
1.0
-1.5879 1.5879 10.4383
1.5879 -1.5879 10.4383
1.5879 1.5879 -10.4383
Re Tc
4 3
direct
0.0760 0.0760 0.0000
0.3582 0.3582 0.0000
0.6418 0.6418 0.0000
0.9240 0.9240 0.0000
0.2181 0.2181 0.0000
0.5000 0.5000 0.0000
0.7819 0.7819 0.0000
```

Values from the calculation:
Energy above the lowest structure with this stoichiometry, meV per atom: 217.1
Formation enthalpy at 0 K, meV per atom: 279
Mass density, g/cm³: 16.39
Space-group type: I4/mmm, No. 139
M_tot, μB per atom: 0.000
E_tot, eV per atom: -11.28
N(E_F), states/eV/cell: 7.418



Entry 3:
VASP calculation (PBE-GGA) on a geometry-optimized ReTc3 structure.

```
ReTc3
1.0
3.8897 0.0000 0.0000
0.0000 3.8897 0.0000
0.0000 0.0000 3.8897
Re Tc
1 3
direct
0.0000 0.0000 0.0000
0.0000 0.5000 0.5000
0.5000 0.0000 0.5000
0.5000 0.5000 0.0000
```

Values from the calculation:
Energy above the lowest structure with this stoichiometry, meV per atom: 71.6
Formation enthalpy at 0 K, meV per atom: 68
Mass density, g/cm³: 13.55
Space-group type: Pm-3m, No. 221
M_tot, μB per atom: 0.000
E_tot, eV per atom: -10.82
N(E_F), states/eV/cell: 4.970



Entry 4:
VASP calculation (PBE-GGA) on a geometry-optimized Re5Tc structure.

```
Re5Tc
1.0
5.0786 -1.3885 0.0000
5.0786 1.3885 0.0000
-1.6818 0.0000 6.3406
Re Tc
5 1
direct
0.0000 0.0000 0.0000
0.0546 0.0546 0.6083
0.3341 0.3341 0.6650
0.6670 0.6670 0.3323
0.7220 0.7220 0.9420
0.3880 0.3880 0.2735
```

Values from the calculation:
Energy above the lowest structure with this stoichiometry, meV per atom: 6.5
Formation enthalpy at 0 K, meV per atom: 2
Mass density, g/cm³: 19.11
Space-group type: Cm, No. 8
M_tot, μB per atom: 0.000
E_tot, eV per atom: -12.10
N(E_F), states/eV/cell: 5.377



Entry 5:
VASP calculation (PBE-GGA) on a geometry-optimized Re2Tc structure.

```
Re2Tc
1.0
5.0667 -1.3881 0.0000
5.0667 1.3881 0.0000
-1.6746 0.0000 6.3282
Re Tc
4 2
direct
0.0275 0.0275 0.3050
0.3597 0.3597 0.9721
0.6403 0.6403 0.0279
0.9725 0.9725 0.6950
0.3061 0.3061 0.3645
0.6939 0.6939 0.6355
```

Values from the calculation:
Energy above the lowest structure with this stoichiometry, meV per atom: 6.9
Formation enthalpy at 0 K, meV per atom: 3
Mass density, g/cm³: 17.55
Space-group type: C2/m, No. 12
M_tot, μB per atom: 0.000
E_tot, eV per atom: -11.75
N(E_F), states/eV/cell: 5.658



Entry 6:
VASP calculation (PBE-GGA) on a geometry-optimized Re2Tc structure.

```
Re2Tc
1.0
4.3785 0.0000 0.0000
-2.1892 3.7919 0.0000
0.0000 0.0000 2.7334
Re Tc
2 1
direct
0.3333 0.6667 0.0000
0.6667 0.3333 0.0000
0.0000 0.0000 0.5000
```

Values from the calculation:
Energy above the lowest structure with this stoichiometry, meV per atom: 154.8
Formation enthalpy at 0 K, meV per atom: 151
Mass density, g/cm³: 17.21
Space-group type: P6/mmm, No. 191
M_tot, μB per atom: 0.000
E_tot, eV per atom: -11.60
N(E_F), states/eV/cell: 2.793



Entry 7:
VASP calculation (PBE-GGA) on a geometry-optimized Re6Tc5 structure.

```
Re6Tc5
1.0
3.5699 -5.2035 0.0000
3.5699 5.2035 0.0000
-1.4247 0.0000 4.5478
Re Tc
6 5
direct
0.0525 0.3158 0.6748
0.1728 0.1728 0.1831
0.3158 0.0525 0.6748
0.6842 0.9475 0.3252
0.8272 0.8272 0.8169
0.9475 0.6842 0.3252
0.2412 0.7588 0.0000
0.3722 0.6278 0.5000
0.5000 0.5000 0.0000
0.6278 0.3722 0.5000
0.7588 0.2412 0.0000
```

Values from the calculation:
Formation enthalpy at 0 K, meV per atom: 292
Mass density, g/cm³: 15.80
Space-group type: C2/m, No. 12
M_tot, μB per atom: 0.000
E_tot, eV per atom: -11.21
N(E_F), states/eV/cell: 7.561



Entry 8:
VASP calculation (PBE-GGA) on a geometry-optimized Re3Tc structure.

```
Re3Tc
1.0
3.9065 0.0000 0.0000
0.0000 3.9065 0.0000
0.0000 0.0000 3.9065
Re Tc
3 1
direct
0.0000 0.0000 0.5000
0.0000 0.5000 0.0000
0.5000 0.0000 0.0000
0.5000 0.5000 0.5000
```

Values from the calculation:
Energy above the lowest structure with this stoichiometry, meV per atom: 64.6
Formation enthalpy at 0 K, meV per atom: 64
Mass density, g/cm³: 18.29
Space-group type: Pm-3m, No. 221
M_tot, μB per atom: 0.000
E_tot, eV per atom: -11.86
N(E_F), states/eV/cell: 3.612